(1)
Density functional theory data (PBE) for a relaxed structure of FeSi16Ge12P3.

```
FeSi16Ge12P3
1.0
-1.044 -5.663 -3.562
7.586 1.576 -6.847
6.551 -7.305 3.341
Ge Si Fe P
12 16 1 3
Direct
0.512 0.180 0.933
0.130 0.329 0.640
0.124 0.195 0.015
0.630 0.390 0.953
0.989 0.756 0.754
0.614 0.260 0.335
0.129 0.706 0.513
0.501 0.569 0.810
0.001 0.627 0.125
0.623 0.125 0.693
0.499 0.444 0.190
0.002 0.247 0.255
0.123 0.454 0.271
0.498 0.051 0.315
0.993 0.995 0.992
0.991 0.878 0.372
0.994 0.502 0.499
0.126 0.579 0.887
0.507 0.316 0.566
0.625 0.520 0.574
0.508 0.693 0.435
0.129 0.836 0.138
0.618 0.893 0.465
0.004 0.376 0.878
0.611 0.780 0.824
0.501 0.813 0.060
0.147 0.954 0.758
0.623 0.649 0.206
0.494 0.933 0.685
0.004 0.121 0.626
0.623 0.009 0.083
0.129 0.070 0.397
```

(2)
Density functional theory data (PBE) for a relaxed structure of FeSi16Ge12P3.

```
FeSi16Ge12P3
1.0
-2.922 -2.734 5.410
-5.685 -6.839 -5.144
5.199 -8.802 2.502
Ge Fe Si P
12 1 16 3
Direct
0.004 0.245 0.251
0.629 0.130 0.709
0.504 0.183 0.942
0.499 0.446 0.189
0.117 0.198 0.017
0.505 0.582 0.800
0.978 0.756 0.752
0.128 0.706 0.514
0.122 0.330 0.649
0.627 0.398 0.952
0.615 0.259 0.335
0.002 0.625 0.123
0.617 0.774 0.833
0.124 0.583 0.889
0.504 0.816 0.051
0.004 0.381 0.877
0.624 0.891 0.454
0.995 0.500 0.498
0.624 0.515 0.574
0.624 0.652 0.203
0.130 0.830 0.142
0.498 0.053 0.305
0.122 0.453 0.272
0.123 0.957 0.769
0.502 0.310 0.566
0.996 0.992 0.000
0.000 0.876 0.366
0.509 0.689 0.432
0.499 0.923 0.690
0.631 0.007 0.082
0.145 0.065 0.373
0.998 0.126 0.641
```

(3)
Density functional theory data (PBE) for a relaxed structure of FeSi15Ge13P3.

```
FeSi15Ge13P3
1.0
-4.698 -0.269 2.989
-1.447 -7.139 -2.852
7.783 -6.369 11.964
Si P Ge Fe
15 3 13 1
Direct
0.770 0.757 0.755
0.746 0.745 0.994
0.758 0.253 0.990
0.486 0.256 0.629
0.247 0.499 0.872
0.729 0.253 0.504
0.749 0.749 0.504
0.250 0.496 0.375
0.263 0.994 0.861
0.491 0.250 0.874
0.994 0.500 0.751
0.248 0.006 0.381
0.497 0.251 0.378
0.006 0.501 0.252
0.498 0.743 0.873
0.991 0.501 0.993
0.244 0.499 0.629
0.518 0.748 0.119
0.755 0.253 0.252
0.995 0.496 0.502
0.259 0.999 0.118
0.990 0.004 0.506
0.751 0.750 0.250
0.231 0.006 0.640
0.018 0.000 0.252
0.248 0.502 0.121
0.524 0.251 0.119
0.504 0.752 0.633
0.753 0.242 0.749
0.492 0.750 0.380
0.008 0.996 0.987
0.989 0.997 0.758
```

(4)
Density functional theory data (PBE) for a relaxed structure of FeSi15Ge13P3.

```
FeSi15Ge13P3
1.0
5.513 0.000 0.000
0.038 7.800 0.000
0.400 0.093 15.762
Ge Fe Si P
13 1 15 3
Direct
0.010 0.000 0.255
0.262 0.999 0.123
0.006 0.995 0.996
0.524 0.255 0.122
0.742 0.747 0.253
0.242 0.503 0.124
0.250 0.004 0.620
0.743 0.257 0.746
0.000 0.997 0.751
0.479 0.743 0.383
0.748 0.259 0.255
0.966 0.004 0.499
0.515 0.741 0.622
0.017 0.491 0.513
0.479 0.259 0.381
0.498 0.263 0.620
0.206 0.498 0.389
0.754 0.742 0.750
0.501 0.743 0.874
0.007 0.504 0.256
0.779 0.713 0.494
0.011 0.501 0.749
0.745 0.745 0.995
0.250 0.005 0.381
0.497 0.252 0.876
0.246 0.499 0.873
0.750 0.286 0.495
0.264 0.997 0.872
0.757 0.253 0.992
0.516 0.745 0.121
0.992 0.501 0.993
0.245 0.499 0.627
```

(5)
Density functional theory data (PBE) for a relaxed structure of FeSi16Ge12P3.

```
FeSi16Ge12P3
1.0
6.771 0.000 0.000
1.131 10.256 0.000
3.357 1.085 9.750
Si P Ge Fe
16 3 12 1
Direct
0.002 0.377 0.877
0.617 0.774 0.831
0.501 0.926 0.674
0.126 0.837 0.144
0.509 0.041 0.325
0.130 0.954 0.764
0.988 0.997 0.999
0.622 0.518 0.571
0.511 0.699 0.438
0.122 0.455 0.271
0.499 0.816 0.064
0.991 0.502 0.499
0.622 0.652 0.210
0.507 0.312 0.562
0.124 0.581 0.889
0.976 0.882 0.378
0.620 0.012 0.086
0.139 0.069 0.388
0.013 0.118 0.618
0.122 0.198 0.017
0.628 0.393 0.955
0.500 0.567 0.807
0.994 0.753 0.747
0.998 0.248 0.258
0.498 0.447 0.192
0.631 0.129 0.695
0.612 0.258 0.330
0.128 0.329 0.639
0.133 0.707 0.506
0.511 0.181 0.936
0.999 0.629 0.126
0.627 0.888 0.455
```

(6)
Density functional theory data (PBE) for a relaxed structure of FeSi16Ge12P3.

```
FeSi16Ge12P3
1.0
-2.717 5.886 -1.808
-8.385 -0.831 6.013
2.549 7.164 7.138
P Ge Si Fe
3 12 16 1
Direct
0.009 0.131 0.632
0.632 0.007 0.081
0.137 0.065 0.385
0.501 0.187 0.945
0.619 0.261 0.332
0.126 0.704 0.513
0.648 0.398 0.951
0.123 0.338 0.653
0.996 0.756 0.752
0.112 0.204 0.009
0.635 0.140 0.705
0.009 0.242 0.249
0.003 0.621 0.120
0.494 0.443 0.189
0.488 0.564 0.811
0.125 0.828 0.141
0.002 0.876 0.369
0.616 0.772 0.828
0.118 0.452 0.271
0.107 0.569 0.886
0.000 0.994 0.002
0.503 0.314 0.563
0.121 0.963 0.767
0.497 0.053 0.309
0.498 0.814 0.062
0.625 0.889 0.454
0.497 0.940 0.685
0.507 0.687 0.435
0.996 0.498 0.497
0.626 0.517 0.575
0.625 0.647 0.204
0.005 0.375 0.876
```

(7)
Density functional theory data (PBE) for a relaxed structure of FeSi16Ge14P.

```
FeSi16Ge14P
1.0
-5.454 0.311 -1.054
0.653 -1.092 -3.702
-2.996 -30.135 8.363
Si Fe Ge P
16 1 14 1
Direct
0.743 0.000 0.811
0.257 0.500 0.124
0.257 0.500 0.872
0.505 0.500 0.312
0.004 0.000 0.252
0.465 0.500 0.682
0.245 0.500 0.252
0.262 0.500 0.374
0.747 0.000 0.311
0.755 0.000 0.566
0.983 0.000 0.750
0.993 0.000 0.002
0.744 0.000 0.062
0.502 0.500 0.811
0.502 0.500 0.437
0.504 0.500 0.064
0.255 0.500 0.620
0.239 0.500 0.749
0.009 0.000 0.373
0.756 0.000 0.938
0.722 0.000 0.688
0.753 0.000 0.437
0.267 0.500 0.501
0.999 0.000 0.503
0.244 0.500 0.002
0.494 0.500 0.937
0.492 0.500 0.189
0.757 0.000 0.189
0.005 0.000 0.124
0.024 0.000 0.630
0.006 0.000 0.873
0.510 0.500 0.566
```

(8)
Density functional theory data (PBE) for a relaxed structure of FeSi15Ge13P3.

```
FeSi15Ge13P3
1.0
-2.534 1.602 -4.633
-0.681 -7.534 -2.148
-13.773 -0.859 7.422
Ge Si P Fe
13 15 3 1
Direct
0.520 0.747 0.880
0.004 0.005 0.006
0.746 0.743 0.252
0.245 0.497 0.878
0.498 0.251 0.616
0.987 0.998 0.497
0.998 0.008 0.250
0.261 0.002 0.879
0.746 0.251 0.748
0.755 0.745 0.747
0.991 0.498 0.495
0.014 0.002 0.747
0.274 0.011 0.377
0.504 0.256 0.129
0.482 0.743 0.375
0.735 0.246 0.485
0.005 0.497 0.746
0.002 0.495 0.252
0.742 0.254 0.006
0.742 0.256 0.258
0.249 0.498 0.128
0.735 0.745 0.497
0.266 0.003 0.128
0.494 0.747 0.124
0.252 0.996 0.620
0.760 0.746 0.007
0.249 0.500 0.623
0.495 0.748 0.621
0.992 0.497 0.007
0.515 0.254 0.880
0.255 0.494 0.372
0.489 0.267 0.371
```

(9)
Density functional theory data (PBE) for a relaxed structure of FeSi16Ge12P3.

```
FeSi16Ge12P3
1.0
6.768 0.000 0.000
1.132 10.281 0.000
3.380 1.150 9.736
Si Ge P Fe
16 12 3 1
Direct
0.126 0.453 0.270
0.619 0.897 0.447
0.990 0.882 0.377
0.500 0.820 0.063
0.625 0.516 0.574
0.616 0.772 0.833
0.002 0.376 0.877
0.126 0.836 0.142
0.124 0.579 0.890
0.511 0.690 0.436
0.509 0.315 0.558
0.622 0.651 0.205
0.502 0.932 0.681
0.987 0.997 0.000
0.128 0.957 0.763
0.996 0.500 0.497
0.502 0.445 0.194
0.129 0.327 0.639
0.995 0.247 0.262
0.500 0.567 0.808
0.120 0.198 0.020
0.627 0.391 0.956
0.628 0.137 0.698
0.995 0.753 0.750
0.132 0.704 0.509
0.510 0.178 0.941
0.000 0.628 0.127
0.610 0.251 0.331
0.149 0.069 0.385
0.622 0.011 0.091
0.008 0.119 0.617
0.490 0.053 0.309
```

(10)
Density functional theory data (PBE) for a relaxed structure of FeSi16Ge12P3.

```
FeSi16Ge12P3
1.0
6.738 0.000 0.000
-1.175 10.280 0.000
-3.353 -1.247 9.781
Ge Fe Si P
12 1 16 3
Direct
0.545 0.181 0.056
0.307 0.446 0.808
0.359 0.705 0.489
0.667 0.134 0.296
0.862 0.197 0.985
0.743 0.247 0.748
0.230 0.329 0.355
0.262 0.754 0.248
0.418 0.395 0.046
0.879 0.629 0.874
0.051 0.258 0.666
0.694 0.571 0.194
0.438 0.822 0.939
0.005 0.994 0.995
0.801 0.517 0.426
0.507 0.500 0.503
0.551 0.773 0.156
0.108 0.957 0.230
0.636 0.876 0.636
0.817 0.932 0.315
0.931 0.313 0.436
0.118 0.380 0.122
0.720 0.829 0.867
0.924 0.889 0.548
0.060 0.687 0.570
0.195 0.053 0.695
0.191 0.658 0.804
0.607 0.454 0.731
0.985 0.581 0.108
0.363 0.122 0.369
0.481 0.066 0.618
0.295 0.001 0.918
```

(11)
Density functional theory data (PBE) for a relaxed structure of FeSi16Ge14P.

```
FeSi16Ge14P
1.0
5.536 0.000 0.000
0.000 3.958 0.000
-0.023 0.000 31.317
Ge Si Fe P
14 16 1 1
Direct
0.983 0.500 0.123
0.240 0.500 0.188
0.256 0.500 0.687
0.752 0.000 0.748
0.972 0.500 0.624
0.759 0.000 0.003
0.505 0.000 0.188
0.007 0.500 0.502
0.245 0.500 0.938
0.741 0.000 0.502
0.505 0.000 0.937
0.257 0.500 0.437
0.994 0.500 0.873
0.995 0.500 0.373
0.259 0.500 0.565
0.760 0.000 0.252
0.512 0.000 0.682
0.507 0.000 0.437
0.744 0.000 0.873
0.257 0.500 0.311
0.009 0.500 0.002
0.257 0.500 0.063
0.255 0.500 0.811
0.494 0.000 0.812
0.497 0.000 0.312
0.000 0.500 0.252
0.005 0.500 0.750
0.501 0.000 0.569
0.494 0.000 0.064
0.744 0.000 0.374
0.753 0.000 0.625
0.741 0.000 0.124
```

no.,offset from the most stable computed form (meV/atom),total energy (eV per atom)
1,39,-5.13
2,44,-5.12
3,22,-5.09
4,0,-5.12
5,36,-5.13
6,40,-5.13
7,0,-5.10
8,6,-5.11
9,0,-5.17
10,31,-5.14
11,30,-5.07